Entry 1:
Computed, not measured: crystalline CaAcDyMg at its relaxed geometry at the GGA-PBE level of DFT.

Summary:
Energy relative to the lowest polymorph listed for this composition, eV per atom: 0.000
Total DFT energy (no corrections), eV per atom: -3.079
Energy relative to the elements, meV/atom: -2
D(E_F), states/eV per atom: 1.61
Total magnetization, μB per formula unit: 0.00

Lattice parameters (Å, degrees): 3.805 3.805 9.692 90.00 90.00 90.00
Space group P4mm (No. 99)
Symmetry-distinct sites (fractional):
Ca 0.000 0.000 0.000 [1 per cell]
Ac 0.500 0.500 0.687 [1 per cell]
Dy 0.000 0.000 0.422 [1 per cell]
Mg 0.500 0.500 0.222 [1 per cell]



Entry 2:
Computed, not measured: crystalline Ti3PtC at its relaxed geometry at the GGA-PBE level of DFT.

Summary:
Energy relative to the lowest polymorph listed for this composition, eV per atom: 0.136
Total DFT energy (no corrections), eV per atom: -8.478
Energy relative to the elements, meV/atom: -688
D(E_F), states/eV per atom: 0.58
Total magnetization, μB per formula unit: 0.00

Lattice parameters (Å, degrees): 10.312 3.150 9.381 90.00 112.10 90.00
Space group Cm (No. 8)
Symmetry-distinct sites (fractional):
Ti 0.000 0.000 0.000 [2 per cell]
Ti 0.018 0.000 0.518 [2 per cell]
Ti 0.062 0.500 0.300 [2 per cell]
Ti 0.226 0.000 0.876 [2 per cell]
Ti 0.257 0.500 0.635 [2 per cell]
Ti 0.305 0.500 0.159 [2 per cell]
Pt 0.284 0.000 0.405 [2 per cell]
Pt 0.482 0.000 0.729 [2 per cell]
C 0.128 0.500 0.956 [2 per cell]
C 0.400 0.000 0.084 [2 per cell]



Look up the total DFT energy (no corrections) of the second one.
-8.478 eV per atom



Among the records above, which one has the highest total DFT energy (no corrections)?
CaAcDyMg



What is the formula in the first record?
CaAcDyMg